Entry 1:
First-principles (GGA-PBEsol) data for InMo2H after structural relaxation, as listed in the Alexandria database.

E = -6.240 eV per atom
space-group type = No. 225
DOS at the Fermi energy = 5.170 states/eV/cell
crystal system = cubic

Lattice parameters (Å, degrees): 4.3571 4.3571 4.3571 60.00 60.00 60.00
Positions (direct):
Mo 0.2500 0.2500 0.2500
Mo 0.7500 0.7500 0.7500
In 0.5000 0.5000 0.5000
H 0.0000 0.0000 0.0000

Entry 2:
First-principles (GGA-PBEsol) data for InMoHSeO7 after structural relaxation, as listed in the Alexandria database.

E = -6.776 eV per atom
space-group type = No. 15
DOS at the Fermi energy = 0.000 states/eV/cell
crystal system = monoclinic

Lattice parameters (Å, degrees): 5.5645 10.6321 10.5323 81.65 74.68 74.83
Positions (direct):
H 0.8088 0.2670 0.6700
H 0.7459 0.2330 0.8300
H 0.1912 0.7330 0.3300
H 0.2541 0.7670 0.1700
O 0.7890 0.7500 0.2500
O 0.7720 0.7193 0.0089
O 0.4964 0.9795 0.1439
O 0.9400 0.2306 0.2151
O 0.7668 0.2383 0.0000
O 0.0600 0.7694 0.7849
O 0.5002 0.7807 0.4911
O 0.5036 0.0205 0.8561
O 0.3801 0.4795 0.6439
O 0.7845 0.0254 0.6010
O 0.4109 0.4746 0.8990
O 0.6199 0.5205 0.3561
O 0.2280 0.2807 0.9911
O 0.0606 0.5073 0.1692
O 0.6725 0.2500 0.7500
O 0.2628 0.0073 0.6692
O 0.2332 0.7617 0.0000
O 0.9394 0.4927 0.8308
O 0.7372 0.9927 0.3308
O 0.5891 0.5254 0.1010
O 0.4998 0.2193 0.5089
O 0.3857 0.2694 0.2849
O 0.2110 0.2500 0.7500
O 0.6143 0.7306 0.7151
O 0.3275 0.7500 0.2500
O 0.9949 0.7383 0.5000
O 0.2155 0.9746 0.3990
O 0.0051 0.2617 0.5000
In 0.4173 0.3686 0.0961
In 0.8820 0.1314 0.4039
In 0.1180 0.8686 0.5961
In 0.5827 0.6314 0.9039
Se 0.9677 0.8284 0.9369
Se 0.7331 0.6716 0.5631
Se 0.0323 0.1716 0.0631
Se 0.2669 0.3284 0.4369
Mo 0.4609 0.0919 0.7064
Mo 0.2592 0.4081 0.7936
Mo 0.5391 0.9081 0.2936
Mo 0.7408 0.5919 0.2064